(1)
The following is a GGA-PBE calculation of an optimized crystal structure of Mg2HgMo, from Alexandria.

a = 2.9786 Å, b = 4.2841 Å, c = 5.9218 Å
α = 90.00°, β = 90.00°, γ = 90.00°
Positions (direct):
Mg1 0.0000 0.0000 0.0000
Mg2 0.5000 0.5000 0.2700
Hg1 0.5000 0.5000 0.7486
Mo1 0.0000 0.0000 0.4943

Crystal system   orthorhombic
E   -3.265 eV per atom
ρ   7.6 g cm⁻³

=====

(2)
The following is a GGA-PBE calculation of an optimized crystal structure of Mg2HgMo, from Alexandria.

a = 2.8978 Å, b = 2.8978 Å, c = 9.1458 Å
α = 90.00°, β = 90.00°, γ = 97.75°
Positions (direct):
Mg1 0.0000 0.0000 0.2342
Mg2 0.0000 0.0000 0.7658
Hg1 0.5000 0.5000 0.5000
Mo1 0.5000 0.5000 0.0000

Crystal system   orthorhombic
E   -3.428 eV per atom
ρ   7.5 g cm⁻³

=====

(3)
The following is a GGA-PBE calculation of an optimized crystal structure of MgHg2Mo, from Alexandria.

a = 10.3447 Å, b = 10.3447 Å, c = 10.3447 Å
α = 156.70°, β = 156.70°, γ = 33.19°
Positions (direct):
Mg1 0.0000 0.0000 0.0000
Mg2 0.7500 0.2500 0.5000
Hg1 0.1296 0.6250 0.0046
Hg2 0.3750 0.3796 0.5046
Hg3 0.6204 0.1250 0.9954
Hg4 0.8750 0.8704 0.4954
Mo1 0.2500 0.7500 0.5000
Mo2 0.5000 0.5000 0.0000

Crystal system   tetragonal
E   -2.536 eV per atom
ρ   10.0 g cm⁻³

=====

(4)
The following is a GGA-PBE calculation of an optimized crystal structure of Mg2HgMo, from Alexandria.

a = 4.7876 Å, b = 4.7876 Å, c = 4.7876 Å
α = 60.00°, β = 60.00°, γ = 60.00°
Positions (direct):
Mg1 0.0000 0.0000 0.0000
Mg2 0.2500 0.2500 0.2500
Hg1 0.7500 0.7500 0.7500
Mo1 0.5000 0.5000 0.5000

Crystal system   cubic
E   -3.178 eV per atom
ρ   7.4 g cm⁻³